Entry from the Alexandria database: an optimized crystal structure of La2Ni3Ge4Au (PBE-GGA).

abc: 4.285 4.285 9.953
angles: 90.00 90.00 90.00
Positions (direct):
La  0.000  0.500  0.244
La  0.500  0.000  0.756
Ni  0.000  0.500  0.885
Ni  0.500  0.000  0.115
Ni  0.500  0.500  0.500
Ge  0.000  0.000  0.000
Ge  0.000  0.500  0.644
Ge  0.500  0.000  0.356
Ge  0.500  0.500  0.000
Au  0.000  0.000  0.500

calculated volume = 18.27 Å³ per atom
calculated formation energy = -0.682 eV per atom